# NaSr3Sm2Se6 | Alexandria | PBE | relaxed
# Fermi-level density of states (states/eV/f.u.): 3.65
# E_form (uncorrected) (kJ per mole of atoms): -181.3
data_NaSr3Sm2Se6
_cell_length_a 7.479
_cell_length_b 7.479
_cell_length_c 7.494
_cell_angle_alpha 99.57
_cell_angle_beta 99.57
_cell_angle_gamma 119.96
_space_group_name_H-M_alt 'P 1'
_space_group_IT_number 1
loop_
_space_group_symop_operation_xyz
'x,y,z'
loop_
_atom_site_label
_atom_site_fract_x
_atom_site_fract_y
_atom_site_fract_z
Na1 0.000 0.000 0.000
Sr1 0.164 0.836 0.500
Sr2 0.500 0.500 0.500
Sr3 0.836 0.164 0.500
Sm1 0.333 0.667 0.000
Sm2 0.667 0.333 0.000
Se1 0.079 0.420 0.237
Se2 0.262 0.262 0.765
Se3 0.420 0.079 0.237
Se4 0.580 0.921 0.763
Se5 0.738 0.738 0.235
Se6 0.921 0.580 0.763


# BeVAg | Alexandria | PBE | relaxed
# ΔE to the lowest computed polymorph (kcal/mol of atoms): 3.63
# Fermi-level density of states (states/eV/f.u.): 2.81
# DFT formation energy (kJ per mole of atoms): 26
data_BeVAg
_cell_length_a 4.432
_cell_length_b 4.612
_cell_length_c 4.966
_cell_angle_alpha 77.77
_cell_angle_beta 63.61
_cell_angle_gamma 61.54
_space_group_name_H-M_alt 'P 1'
_space_group_IT_number 1
loop_
_space_group_symop_operation_xyz
'x,y,z'
loop_
_atom_site_label
_atom_site_fract_x
_atom_site_fract_y
_atom_site_fract_z
Be1 0.250 0.000 0.000
Be2 0.750 0.000 0.000
V1 0.192 0.110 0.500
V2 0.808 0.890 0.500
Ag1 0.344 0.500 0.811
Ag2 0.656 0.500 0.189


# BeCuPd3 | Alexandria | PBE | relaxed
# ΔE to the lowest computed polymorph (kcal/mol of atoms): 1.26
# Fermi-level density of states (states/eV/f.u.): 2.65
# DFT formation energy (kJ per mole of atoms): -26
data_BeCuPd3
_cell_length_a 7.435
_cell_length_b 2.771
_cell_length_c 6.515
_cell_angle_alpha 90.00
_cell_angle_beta 90.00
_cell_angle_gamma 90.00
_space_group_name_H-M_alt 'P 1'
_space_group_IT_number 1
loop_
_space_group_symop_operation_xyz
'x,y,z'
loop_
_atom_site_label
_atom_site_fract_x
_atom_site_fract_y
_atom_site_fract_z
Be1 0.000 0.000 0.000
Be2 0.500 0.000 0.000
Cu1 0.250 0.000 0.414
Cu2 0.750 0.000 0.586
Pd1 0.059 0.500 0.699
Pd2 0.250 0.500 0.066
Pd3 0.441 0.500 0.699
Pd4 0.559 0.500 0.301
Pd5 0.750 0.500 0.934
Pd6 0.941 0.500 0.301


# GaAgF4 | Alexandria | PBE | relaxed
# ΔE to the lowest computed polymorph (kcal/mol of atoms): 0.05
# Fermi-level density of states (states/eV/f.u.): 0.00
# E_form (uncorrected) (kJ per mole of atoms): -198.7
data_GaAgF4
_cell_length_a 5.397
_cell_length_b 5.397
_cell_length_c 3.082
_cell_angle_alpha 90.00
_cell_angle_beta 90.00
_cell_angle_gamma 92.44
_space_group_name_H-M_alt 'P 1'
_space_group_IT_number 1
loop_
_space_group_symop_operation_xyz
'x,y,z'
loop_
_atom_site_label
_atom_site_fract_x
_atom_site_fract_y
_atom_site_fract_z
Ga1 0.000 0.000 0.000
Ag1 0.500 0.500 0.500
F1 0.163 0.837 0.500
F2 0.248 0.248 0.000
F3 0.752 0.752 0.000
F4 0.837 0.163 0.500


# La2Cr | Alexandria | PBE | relaxed
# Fermi-level density of states (states/eV/f.u.): 3.30
# DFT formation energy (kJ per mole of atoms): 41
data_La2Cr
_cell_length_a 5.222
_cell_length_b 5.222
_cell_length_c 3.707
_cell_angle_alpha 90.00
_cell_angle_beta 90.00
_cell_angle_gamma 120.00
_space_group_name_H-M_alt 'P 1'
_space_group_IT_number 1
loop_
_space_group_symop_operation_xyz
'x,y,z'
loop_
_atom_site_label
_atom_site_fract_x
_atom_site_fract_y
_atom_site_fract_z
La1 0.333 0.667 0.200
La2 0.667 0.333 0.800
Cr1 0.000 0.000 0.500


# RbSiAs2O8 | Alexandria | PBE | relaxed
# Fermi-level density of states (states/eV/f.u.): 8.24
# E_form (uncorrected) (kJ per mole of atoms): -138.3
data_RbSiAs2O8
_cell_length_a 9.349
_cell_length_b 9.349
_cell_length_c 9.349
_cell_angle_alpha 32.43
_cell_angle_beta 32.43
_cell_angle_gamma 32.43
_space_group_name_H-M_alt 'P 1'
_space_group_IT_number 1
loop_
_space_group_symop_operation_xyz
'x,y,z'
loop_
_atom_site_label
_atom_site_fract_x
_atom_site_fract_y
_atom_site_fract_z
Rb1 0.000 0.000 0.000
Si1 0.500 0.500 0.500
As1 0.228 0.228 0.228
As2 0.772 0.772 0.772
O1 0.149 0.615 0.615
O2 0.291 0.291 0.291
O3 0.385 0.385 0.851
O4 0.385 0.851 0.385
O5 0.615 0.149 0.615
O6 0.615 0.615 0.149
O7 0.709 0.709 0.709
O8 0.851 0.385 0.385


# AlTlIn2 | Alexandria | PBE | relaxed
# ΔE to the lowest computed polymorph (kcal/mol of atoms): 2.06
# Fermi-level density of states (states/eV/f.u.): 2.04
# DFT formation energy (kJ per mole of atoms): 18
data_AlTlIn2
_cell_length_a 6.726
_cell_length_b 6.726
_cell_length_c 6.726
_cell_angle_alpha 101.57
_cell_angle_beta 101.57
_cell_angle_gamma 126.78
_space_group_name_H-M_alt 'P 1'
_space_group_IT_number 1
loop_
_space_group_symop_operation_xyz
'x,y,z'
loop_
_atom_site_label
_atom_site_fract_x
_atom_site_fract_y
_atom_site_fract_z
Al1 0.000 0.000 0.000
Al2 0.750 0.250 0.500
Tl1 0.250 0.750 0.500
Tl2 0.500 0.500 0.000
In1 0.080 0.625 0.955
In2 0.375 0.330 0.455
In3 0.670 0.125 0.045
In4 0.875 0.920 0.545


# Sr2InPd2 | Alexandria | PBE | relaxed
# Fermi-level density of states (states/eV/f.u.): 1.74
# DFT formation energy (kJ per mole of atoms): -64
data_Sr2InPd2
_cell_length_a 6.087
_cell_length_b 6.087
_cell_length_c 8.418
_cell_angle_alpha 101.77
_cell_angle_beta 101.77
_cell_angle_gamma 60.08
_space_group_name_H-M_alt 'P 1'
_space_group_IT_number 1
loop_
_space_group_symop_operation_xyz
'x,y,z'
loop_
_atom_site_label
_atom_site_fract_x
_atom_site_fract_y
_atom_site_fract_z
Sr1 0.009 0.288 0.148
Sr2 0.288 0.009 0.648
Sr3 0.712 0.991 0.352
Sr4 0.991 0.712 0.852
In1 0.365 0.635 0.250
In2 0.635 0.365 0.750
Pd1 0.230 0.502 0.497
Pd2 0.498 0.770 0.003
Pd3 0.502 0.230 0.997
Pd4 0.770 0.498 0.503


# Tm3UTl4Te8 | Alexandria | PBE | relaxed
# Fermi-level density of states (states/eV/f.u.): 3.98
# E_form (uncorrected) (kJ per mole of atoms): -85.9
data_Tm3UTl4Te8
_cell_length_a 9.679
_cell_length_b 9.679
_cell_length_c 9.679
_cell_angle_alpha 54.36
_cell_angle_beta 54.36
_cell_angle_gamma 54.36
_space_group_name_H-M_alt 'P 1'
_space_group_IT_number 1
loop_
_space_group_symop_operation_xyz
'x,y,z'
loop_
_atom_site_label
_atom_site_fract_x
_atom_site_fract_y
_atom_site_fract_z
Tm1 0.000 0.500 0.500
Tm2 0.500 0.000 0.500
Tm3 0.500 0.500 0.000
U1 0.000 0.000 0.000
Tl1 0.000 0.000 0.500
Tl2 0.000 0.500 0.000
Tl3 0.500 0.000 0.000
Tl4 0.500 0.500 0.500
Te1 0.241 0.241 0.731
Te2 0.241 0.731 0.241
Te3 0.264 0.264 0.264
Te4 0.269 0.759 0.759
Te5 0.731 0.241 0.241
Te6 0.736 0.736 0.736
Te7 0.759 0.269 0.759
Te8 0.759 0.759 0.269


# K2Nb4O7 | Alexandria | PBE | relaxed
# Fermi-level density of states (states/eV/f.u.): 5.36
# E_form (uncorrected) (kJ per mole of atoms): -192.4
data_K2Nb4O7
_cell_length_a 5.123
_cell_length_b 5.123
_cell_length_c 7.381
_cell_angle_alpha 90.00
_cell_angle_beta 90.00
_cell_angle_gamma 120.00
_space_group_name_H-M_alt 'P 1'
_space_group_IT_number 1
loop_
_space_group_symop_operation_xyz
'x,y,z'
loop_
_atom_site_label
_atom_site_fract_x
_atom_site_fract_y
_atom_site_fract_z
K1 0.333 0.667 0.000
K2 0.667 0.333 0.000
Nb1 0.000 0.000 0.294
Nb2 0.000 0.000 0.706
Nb3 0.333 0.667 0.500
Nb4 0.667 0.333 0.500
O1 0.000 0.000 0.000
O2 0.000 0.387 0.290
O3 0.000 0.613 0.710
O4 0.387 0.000 0.290
O5 0.387 0.387 0.710
O6 0.613 0.000 0.710
O7 0.613 0.613 0.290


# HfReTcW | Alexandria | PBE | relaxed
# Fermi-level density of states (states/eV/f.u.): 1.56
# DFT formation energy (kJ per mole of atoms): -28
data_HfReTcW
_cell_length_a 4.519
_cell_length_b 4.519
_cell_length_c 4.519
_cell_angle_alpha 60.00
_cell_angle_beta 60.00
_cell_angle_gamma 60.00
_space_group_name_H-M_alt 'P 1'
_space_group_IT_number 1
loop_
_space_group_symop_operation_xyz
'x,y,z'
loop_
_atom_site_label
_atom_site_fract_x
_atom_site_fract_y
_atom_site_fract_z
Hf1 0.000 0.000 0.000
Re1 0.250 0.250 0.250
Tc1 0.750 0.750 0.750
W1 0.500 0.500 0.500


# SmDyCdRh | Alexandria | PBE | relaxed
# Fermi-level density of states (states/eV/f.u.): 2.26
# DFT formation energy (kJ per mole of atoms): -48
data_SmDyCdRh
_cell_length_a 5.108
_cell_length_b 5.108
_cell_length_c 5.108
_cell_angle_alpha 60.00
_cell_angle_beta 60.00
_cell_angle_gamma 60.00
_space_group_name_H-M_alt 'P 1'
_space_group_IT_number 1
loop_
_space_group_symop_operation_xyz
'x,y,z'
loop_
_atom_site_label
_atom_site_fract_x
_atom_site_fract_y
_atom_site_fract_z
Sm1 0.000 0.000 0.000
Dy1 0.500 0.500 0.500
Cd1 0.750 0.750 0.750
Rh1 0.250 0.250 0.250


# YTeMo2 | Alexandria | PBE | relaxed
# Fermi-level density of states (states/eV/f.u.): 5.30
# E_form (uncorrected) (kJ per mole of atoms): 63.1
data_YTeMo2
_cell_length_a 3.147
_cell_length_b 3.147
_cell_length_c 8.900
_cell_angle_alpha 90.00
_cell_angle_beta 90.00
_cell_angle_gamma 109.98
_space_group_name_H-M_alt 'P 1'
_space_group_IT_number 1
loop_
_space_group_symop_operation_xyz
'x,y,z'
loop_
_atom_site_label
_atom_site_fract_x
_atom_site_fract_y
_atom_site_fract_z
Y1 0.000 0.000 0.000
Te1 0.000 0.000 0.500
Mo1 0.500 0.500 0.269
Mo2 0.500 0.500 0.731


# Y7Er2Sc2 | Alexandria | PBE | relaxed
# ΔE to the lowest computed polymorph (kcal/mol of atoms): 0.46
# Fermi-level density of states (states/eV/f.u.): 18.73
# DFT formation energy (kJ per mole of atoms): 14
data_Y7Er2Sc2
_cell_length_a 6.715
_cell_length_b 6.715
_cell_length_c 8.040
_cell_angle_alpha 98.27
_cell_angle_beta 98.27
_cell_angle_gamma 103.21
_space_group_name_H-M_alt 'P 1'
_space_group_IT_number 1
loop_
_space_group_symop_operation_xyz
'x,y,z'
loop_
_atom_site_label
_atom_site_fract_x
_atom_site_fract_y
_atom_site_fract_z
Y1 0.000 0.000 0.000
Y2 0.083 0.512 0.818
Y3 0.195 0.195 0.473
Y4 0.488 0.917 0.182
Y5 0.512 0.083 0.818
Y6 0.805 0.805 0.527
Y7 0.917 0.488 0.182
Er1 0.415 0.415 0.178
Er2 0.585 0.585 0.822
Sc1 0.294 0.706 0.500
Sc2 0.706 0.294 0.500